{
  "formula": "La2Ga3SiPd4",
  "functional": "PBE-GGA",
  "state": "optimized geometry",
  "lattice": [[4.3811, 0.0000, 0.0000], [0.0000, 4.3811, 0.0000], [0.0000, 0.0000, 10.2140]],
  "species": ["Si", "Pd", "Pd", "Pd", "Pd", "Ga", "Ga", "Ga", "La", "La"],
  "fractional_positions": [[0.5000, 0.5000, 0.5000], [0.0000, 0.5000, 0.3776], [0.5000, 0.0000, 0.6224], [0.5000, 0.5000, 0.0000], [0.0000, 0.0000, 0.0000], [0.0000, 0.0000, 0.5000], [0.5000, 0.0000, 0.8716], [0.0000, 0.5000, 0.1284], [0.5000, 0.0000, 0.2579], [0.0000, 0.5000, 0.7421]],
  "crystal_system": "tetragonal",
  "raw_formation_energy_ev_per_atom": -0.8404,
  "space_group": "P-4m2 (115)"
}

***

{
  "formula": "La2GaSi4Pd3",
  "functional": "PBE-GGA",
  "state": "optimized geometry",
  "lattice": [[4.2734, 0.0000, 0.0000], [0.0000, 4.2734, 0.0000], [0.0000, 0.0000, 10.2114]],
  "species": ["Pd", "Pd", "Pd", "La", "La", "Ga", "Si", "Si", "Si", "Si"],
  "fractional_positions": [[0.5000, 0.0000, 0.8800], [0.0000, 0.0000, 0.5000], [0.0000, 0.5000, 0.1200], [0.5000, 0.0000, 0.2448], [0.0000, 0.5000, 0.7552], [0.5000, 0.5000, 0.5000], [0.0000, 0.0000, 0.0000], [0.0000, 0.5000, 0.3601], [0.5000, 0.0000, 0.6399], [0.5000, 0.5000, 0.0000]],
  "crystal_system": "tetragonal",
  "raw_formation_energy_ev_per_atom": -0.8382,
  "space_group": "P-4m2 (115)"
}

***

{
  "formula": "La2GaSiPd6",
  "functional": "PBE-GGA",
  "state": "optimized geometry",
  "lattice": [[5.6136, 0.0000, 0.0000], [0.0000, 8.1768, 0.0000], [0.0000, 0.0000, 8.8248]],
  "species": ["La", "La", "La", "La", "Pd", "Pd", "Pd", "Pd", "Pd", "Pd", "Pd", "Pd", "Pd", "Pd", "Pd", "Pd", "Si", "Si", "Ga", "Ga"],
  "fractional_positions": [[0.5000, 0.7297, 0.7457], [0.5000, 0.7297, 0.2543], [0.0000, 0.2703, 0.7543], [0.0000, 0.2703, 0.2457], [0.2497, 0.5223, 0.0000], [0.5000, 0.1109, 0.2509], [0.2517, 0.0032, 0.0000], [0.2483, 0.9968, 0.5000], [0.5000, 0.1109, 0.7491], [0.0000, 0.8891, 0.2491], [0.7503, 0.5223, 0.0000], [0.7517, 0.9968, 0.5000], [0.7497, 0.4777, 0.5000], [0.0000, 0.8891, 0.7509], [0.7483, 0.0032, 0.0000], [0.2503, 0.4777, 0.5000], [0.5000, 0.2407, 0.5000], [0.0000, 0.7593, 0.0000], [0.0000, 0.7316, 0.5000], [0.5000, 0.2684, 0.0000]],
  "crystal_system": "orthorhombic",
  "raw_formation_energy_ev_per_atom": -0.8004,
  "space_group": "Pmmn (59)"
}

***

{
  "formula": "LaGa2SiPd4",
  "functional": "PBE-GGA",
  "state": "optimized geometry",
  "lattice": [[-0.3630, 2.7814, 3.3058], [-3.9164, 1.3587, 1.2697], [-1.9477, -5.3997, 7.1722]],
  "species": ["Pd", "Pd", "Pd", "Pd", "La", "Si", "Ga", "Ga"],
  "fractional_positions": [[0.8608, 0.8608, 0.4177], [0.1392, 0.1392, 0.5823], [0.4092, 0.4092, 0.7725], [0.5908, 0.5908, 0.2275], [0.0000, 0.0000, 0.0000], [0.5000, 0.5000, 0.5000], [0.7531, 0.7531, 0.7407], [0.2469, 0.2469, 0.2593]],
  "crystal_system": "trigonal",
  "raw_formation_energy_ev_per_atom": -0.6861,
  "space_group": "R-3m (166)"
}

***

{
  "formula": "La3GaSi2Pd9",
  "functional": "PBE-GGA",
  "state": "optimized geometry",
  "lattice": [[6.4039, 0.0000, 0.0000], [-3.2020, 5.5460, 0.0000], [0.0000, 0.0000, 8.8646]],
  "species": ["Pd", "Pd", "Pd", "Pd", "Pd", "Pd", "Pd", "Pd", "Pd", "Si", "Si", "La", "La", "La", "Ga"],
  "fractional_positions": [[0.5000, 0.5000, 0.0000], [0.5000, 0.0000, 0.0000], [0.1459, 0.8541, 0.2853], [0.8541, 0.7082, 0.7147], [0.2918, 0.1459, 0.7147], [0.7082, 0.8541, 0.2853], [0.1459, 0.2918, 0.2853], [0.8541, 0.1459, 0.7147], [0.0000, 0.5000, 0.0000], [0.3333, 0.6667, 0.1769], [0.6667, 0.3333, 0.8231], [0.0000, 0.0000, 0.0000], [0.3333, 0.6667, 0.6737], [0.6667, 0.3333, 0.3263], [0.0000, 0.0000, 0.5000]],
  "crystal_system": "trigonal",
  "raw_formation_energy_ev_per_atom": -0.6975,
  "space_group": "P-3m1 (164)"
}

***

{
  "formula": "La2SmGa3Pd4",
  "functional": "PBE-GGA",
  "state": "optimized geometry",
  "lattice": [[-3.5690, -1.8292, 1.7436], [2.4644, -1.8520, 3.1017], [-1.4482, 9.1045, 6.5870]],
  "species": ["Pd", "Pd", "Pd", "Pd", "Sm", "Ga", "Ga", "Ga", "La", "La"],
  "fractional_positions": [[0.0000, 0.5000, 0.3397], [0.0000, 0.0000, 0.0000], [0.5000, 0.5000, 0.0000], [0.5000, 0.0000, 0.6603], [0.5000, 0.5000, 0.5000], [0.5000, 0.0000, 0.8829], [0.0000, 0.0000, 0.5000], [0.0000, 0.5000, 0.1171], [0.5000, 0.0000, 0.2266], [0.0000, 0.5000, 0.7734]],
  "crystal_system": "tetragonal",
  "space_group": "P-4m2 (115)",
  "e_form_ev_per_atom": -0.796
}

***

{
  "formula": "LaSmGaPd",
  "functional": "PBE-GGA",
  "state": "optimized geometry",
  "lattice": [[5.2130, 0.0000, 0.0000], [2.6065, 4.5146, 0.0000], [2.6065, 1.5049, 4.2564]],
  "species": ["Sm", "La", "Pd", "Ga"],
  "fractional_positions": [[0.0000, 0.0000, 0.0000], [0.5000, 0.5000, 0.5000], [0.7500, 0.7500, 0.7500], [0.2500, 0.2500, 0.2500]],
  "polymorph_energy_mev_per_atom": 62,
  "crystal_system": "cubic",
  "space_group": "F-43m (216)",
  "e_form_ev_per_atom": -0.614
}

***

{
  "formula": "LaSmGaPd",
  "functional": "PBE-GGA",
  "state": "optimized geometry",
  "lattice": [[4.3489, 0.0000, 0.0000], [0.0000, 4.5029, 0.0000], [-2.1745, 0.0000, 5.2765]],
  "species": ["Sm", "La", "Pd", "Ga"],
  "fractional_positions": [[0.1391, 0.0000, 0.2783], [0.8546, 0.5000, 0.7092], [0.5741, 0.5000, 0.1483], [0.4321, 0.0000, 0.8643]],
  "polymorph_energy_mev_per_atom": 0,
  "crystal_system": "orthorhombic",
  "space_group": "Amm2 (38)",
  "e_form_ev_per_atom": -0.676
}

***

{
  "formula": "LaSmGa2Pd2",
  "functional": "PBE-GGA",
  "state": "optimized geometry",
  "lattice": [[4.5665, 0.0000, 0.0000], [-2.2832, 3.9547, 0.0000], [0.0000, 0.0000, 7.2448]],
  "species": ["Sm", "Ga", "Ga", "La", "Pd", "Pd"],
  "fractional_positions": [[0.0000, 0.0000, 0.5000], [0.3333, 0.6667, 0.2684], [0.6667, 0.3333, 0.7316], [0.0000, 0.0000, 0.0000], [0.6667, 0.3333, 0.2665], [0.3333, 0.6667, 0.7335]],
  "crystal_system": "trigonal",
  "space_group": "P-3m1 (164)",
  "e_form_ev_per_atom": -0.827
}

***

{
  "formula": "La2GaSn3Pd4",
  "functional": "PBE-GGA",
  "state": "optimized geometry",
  "lattice": [[-4.3820, -0.3381, 1.2811], [1.2837, -2.1799, 3.8155], [0.7658, 9.3591, 5.0895]],
  "species": ["Sn", "Sn", "Sn", "Pd", "Pd", "Pd", "Pd", "Ga", "La", "La"],
  "fractional_positions": [[0.0000, 0.5000, 0.1296], [0.5000, 0.0000, 0.8704], [0.0000, 0.0000, 0.5000], [0.0000, 0.5000, 0.3754], [0.5000, 0.5000, 0.0000], [0.0000, 0.0000, 0.0000], [0.5000, 0.0000, 0.6246], [0.5000, 0.5000, 0.5000], [0.5000, 0.0000, 0.2532], [0.0000, 0.5000, 0.7468]],
  "crystal_system": "tetragonal",
  "space_group": "P-4m2 (115)",
  "e_form_ev_per_atom": -0.821
}

***

{
  "formula": "LaGa2SnPd5",
  "functional": "PBE-GGA",
  "state": "optimized geometry",
  "lattice": [[-3.2439, 0.0904, -2.8181], [1.7111, -3.3512, -2.0771], [-4.8072, -5.7695, 5.3485]],
  "species": ["Pd", "Pd", "Pd", "Pd", "Pd", "La", "Ga", "Ga", "Sn"],
  "fractional_positions": [[0.5000, 0.0000, 0.7278], [0.5000, 0.0000, 0.2722], [0.5000, 0.5000, 0.5000], [0.0000, 0.5000, 0.7278], [0.0000, 0.5000, 0.2722], [0.0000, 0.0000, 0.5000], [0.5000, 0.5000, 0.8663], [0.5000, 0.5000, 0.1337], [0.0000, 0.0000, 0.0000]],
  "crystal_system": "tetragonal",
  "space_group": "P4/mmm (123)",
  "e_form_ev_per_atom": -0.546
}

***

{
  "formula": "LaGaSnPd",
  "functional": "PBE-GGA",
  "state": "optimized geometry",
  "lattice": [[5.0300, 0.0000, 0.0000], [2.5150, 4.3561, 0.0000], [2.5150, 1.4520, 4.1070]],
  "species": ["Sn", "Ga", "La", "Pd"],
  "fractional_positions": [[0.2500, 0.2500, 0.2500], [0.5000, 0.5000, 0.5000], [0.7500, 0.7500, 0.7500], [0.0000, 0.0000, 0.0000]],
  "crystal_system": "cubic",
  "space_group": "F-43m (216)",
  "e_form_ev_per_atom": -0.650
}

***

{
  "formula": "La3GaSn2Pd8",
  "functional": "PBE-GGA",
  "state": "optimized geometry",
  "lattice": [[-4.5085, 2.8341, -1.6918], [0.2438, -5.5381, -0.7002], [-4.4958, -1.4133, 9.6130]],
  "species": ["La", "La", "La", "Pd", "Pd", "Pd", "Pd", "Pd", "Pd", "Pd", "Pd", "Sn", "Sn", "Ga"],
  "fractional_positions": [[0.3333, 0.6667, 0.5848], [0.6667, 0.3333, 0.4152], [0.0000, 0.0000, 0.0000], [0.6667, 0.3333, 0.1408], [0.3333, 0.6667, 0.8592], [0.3287, 0.1643, 0.6959], [0.1643, 0.3287, 0.3041], [0.8357, 0.6713, 0.6959], [0.6713, 0.8357, 0.3041], [0.8357, 0.1643, 0.6959], [0.1643, 0.8357, 0.3041], [0.6667, 0.3333, 0.8931], [0.3333, 0.6667, 0.1069], [0.0000, 0.0000, 0.5000]],
  "crystal_system": "trigonal",
  "space_group": "P-3m1 (164)",
  "e_form_ev_per_atom": -0.723
}

***

{
  "formula": "SrLaGa2Pd5",
  "functional": "PBE-GGA",
  "state": "optimized geometry",
  "lattice": [[-2.7371, 0.8961, 3.3273], [-2.5988, -3.3272, -1.2417], [4.7139, -5.7023, 5.4136]],
  "species": ["Pd", "Pd", "Pd", "Pd", "Pd", "Ga", "Ga", "Sr", "La"],
  "fractional_positions": [[0.5000, 0.0000, 0.7306], [0.5000, 0.0000, 0.2694], [0.5000, 0.5000, 0.5000], [0.0000, 0.5000, 0.7306], [0.0000, 0.5000, 0.2694], [0.5000, 0.5000, 0.8570], [0.5000, 0.5000, 0.1430], [0.0000, 0.0000, 0.5000], [0.0000, 0.0000, 0.0000]],
  "crystal_system": "tetragonal",
  "space_group": "P4/mmm (123)",
  "e_form_ev_per_atom": -0.676
}

***

{
  "formula": "La2TbGa4Pd3",
  "functional": "PBE-GGA",
  "state": "optimized geometry",
  "lattice": [[4.2982, 0.0000, 0.0000], [0.0000, 4.2982, 0.0000], [0.0000, 0.0000, 11.7943]],
  "species": ["Ga", "Ga", "Ga", "Ga", "La", "La", "Pd", "Pd", "Pd", "Tb"],
  "fractional_positions": [[0.5000, 0.5000, 0.0000], [0.5000, 0.0000, 0.6667], [0.0000, 0.0000, 0.0000], [0.0000, 0.5000, 0.3333], [0.5000, 0.0000, 0.2248], [0.0000, 0.5000, 0.7752], [0.0000, 0.0000, 0.5000], [0.5000, 0.0000, 0.8790], [0.0000, 0.5000, 0.1210], [0.5000, 0.5000, 0.5000]],
  "crystal_system": "tetragonal",
  "space_group": "P-4m2 (115)",
  "e_form_ev_per_atom": -0.738
}

***

{
  "formula": "LaTbGa2Pd2",
  "functional": "PBE-GGA",
  "state": "optimized geometry",
  "lattice": [[-3.8027, -2.2555, 1.1170], [1.0714, 0.6309, -4.3875], [3.6401, -6.1337, 0.0069]],
  "species": ["Ga", "Ga", "Tb", "La", "Pd", "Pd"],
  "fractional_positions": [[0.6667, 0.3333, 0.7228], [0.3333, 0.6667, 0.2772], [0.0000, 0.0000, 0.5000], [0.0000, 0.0000, 0.0000], [0.3333, 0.6667, 0.7228], [0.6667, 0.3333, 0.2772]],
  "crystal_system": "trigonal",
  "space_group": "P-3m1 (164)",
  "e_form_ev_per_atom": -0.846
}

***

{
  "formula": "LaTbGaPd",
  "functional": "PBE-GGA",
  "state": "optimized geometry",
  "lattice": [[-3.7041, -0.7132, -3.5395], [-0.0428, -4.3049, -2.8676], [-3.6534, -3.5811, 0.7651]],
  "species": ["Pd", "Tb", "Ga", "La"],
  "fractional_positions": [[0.7500, 0.7500, 0.7500], [0.0000, 0.0000, 0.0000], [0.2500, 0.2500, 0.2500], [0.5000, 0.5000, 0.5000]],
  "polymorph_energy_mev_per_atom": 55,
  "crystal_system": "cubic",
  "space_group": "F-43m (216)",
  "e_form_ev_per_atom": -0.635
}

***

{
  "formula": "LaTbGaPd",
  "functional": "PBE-GGA",
  "state": "optimized geometry",
  "lattice": [[4.2895, 0.0000, 0.0000], [0.0000, 4.4958, 0.0000], [-2.1447, 0.0000, 5.2459]],
  "species": ["La", "Tb", "Ga", "Pd"],
  "fractional_positions": [[0.1459, 0.0000, 0.2917], [0.8623, 0.5000, 0.7246], [0.5678, 0.5000, 0.1357], [0.4240, 0.0000, 0.8480]],
  "polymorph_energy_mev_per_atom": 0,
  "crystal_system": "orthorhombic",
  "space_group": "Amm2 (38)",
  "e_form_ev_per_atom": -0.690
}

***

{
  "formula": "LaGaTc2Pd",
  "functional": "PBE-GGA",
  "state": "optimized geometry",
  "lattice": [[4.7350, 0.0000, 0.0000], [0.0000, 5.4407, 0.0000], [0.0000, 0.0000, 4.7350]],
  "species": ["Tc", "Tc", "Ga", "Pd", "La"],
  "fractional_positions": [[0.5000, 0.0000, 0.0000], [0.0000, 0.0000, 0.5000], [0.0000, 0.5000, 0.0000], [0.5000, 0.5000, 0.5000], [0.0000, 0.0000, 0.0000]],
  "crystal_system": "tetragonal",
  "space_group": "P4/mmm (123)",
  "e_form_ev_per_atom": 1.798
}

***

{
  "formula": "LaGaTcPd2",
  "functional": "PBE-GGA",
  "state": "optimized geometry",
  "lattice": [[-1.3775, 3.9883, -2.9797], [-4.7403, -0.9056, 0.9793], [0.2452, 3.1423, 4.0925]],
  "species": ["Ga", "Pd", "Pd", "Tc", "La"],
  "fractional_positions": [[0.5000, 0.5000, 0.5000], [0.0000, 0.0000, 0.5000], [0.5000, 0.0000, 0.0000], [0.0000, 0.5000, 0.0000], [0.0000, 0.0000, 0.0000]],
  "crystal_system": "tetragonal",
  "space_group": "P4/mmm (123)",
  "e_form_ev_per_atom": 1.104
}

***

{
  "formula": "LaThGaPd",
  "functional": "PBE-GGA",
  "state": "optimized geometry",
  "lattice": [[5.2309, 0.0000, 0.0000], [2.6155, 4.5301, 0.0000], [2.6155, 1.5100, 4.2710]],
  "species": ["Pd", "Th", "La", "Ga"],
  "fractional_positions": [[0.2500, 0.2500, 0.2500], [0.0000, 0.0000, 0.0000], [0.5000, 0.5000, 0.5000], [0.7500, 0.7500, 0.7500]],
  "crystal_system": "cubic",
  "space_group": "F-43m (216)",
  "e_form_ev_per_atom": -0.513
}

***

{
  "formula": "LaTiGa2Pd5",
  "functional": "PBE-GGA",
  "state": "optimized geometry",
  "lattice": [[4.7626, 0.0000, 0.0000], [0.0000, 4.7626, 0.0000], [0.0000, 0.0000, 7.4176]],
  "species": ["Pd", "Pd", "Pd", "Pd", "Pd", "La", "Ga", "Ga", "Ti"],
  "fractional_positions": [[0.5000, 0.0000, 0.7887], [0.5000, 0.0000, 0.2113], [0.0000, 0.5000, 0.2113], [0.5000, 0.5000, 0.5000], [0.0000, 0.5000, 0.7887], [0.0000, 0.0000, 0.5000], [0.5000, 0.5000, 0.8352], [0.5000, 0.5000, 0.1648], [0.0000, 0.0000, 0.0000]],
  "crystal_system": "tetragonal",
  "space_group": "P4/mmm (123)",
  "e_form_ev_per_atom": -0.439
}

***

{
  "formula": "LaTlGaPd",
  "functional": "PBE-GGA",
  "state": "optimized geometry",
  "lattice": [[5.0553, 0.0000, 0.0000], [2.5276, 4.3780, 0.0000], [2.5276, 1.4593, 4.1276]],
  "species": ["La", "Tl", "Pd", "Ga"],
  "fractional_positions": [[0.0000, 0.0000, 0.0000], [0.5000, 0.5000, 0.5000], [0.7500, 0.7500, 0.7500], [0.2500, 0.2500, 0.2500]],
  "crystal_system": "cubic",
  "space_group": "F-43m (216)",
  "e_form_ev_per_atom": -0.495
}

***

{
  "formula": "La2TlGa3Pd4",
  "functional": "PBE-GGA",
  "state": "optimized geometry",
  "lattice": [[4.3427, 0.0000, 0.0000], [0.0000, 4.3427, 0.0000], [0.0000, 0.0000, 11.1458]],
  "species": ["La", "La", "Pd", "Pd", "Pd", "Pd", "Ga", "Ga", "Ga", "Tl"],
  "fractional_positions": [[0.0000, 0.5000, 0.7604], [0.5000, 0.0000, 0.2396], [0.0000, 0.0000, 0.0000], [0.5000, 0.5000, 0.0000], [0.5000, 0.0000, 0.6568], [0.0000, 0.5000, 0.3432], [0.0000, 0.5000, 0.1182], [0.5000, 0.0000, 0.8818], [0.0000, 0.0000, 0.5000], [0.5000, 0.5000, 0.5000]],
  "crystal_system": "tetragonal",
  "space_group": "P-4m2 (115)",
  "e_form_ev_per_atom": -0.720
}

***

{
  "formula": "LaTmGaPd",
  "functional": "PBE-GGA",
  "state": "optimized geometry",
  "lattice": [[-0.7307, 3.3907, -1.8773], [0.7310, -2.0471, -3.9819], [-4.9581, -3.0096, 0.6370]],
  "species": ["Tm", "Pd", "La", "Ga"],
  "fractional_positions": [[0.8617, 0.5000, 0.7234], [0.4223, 0.0000, 0.8445], [0.1466, 0.0000, 0.2931], [0.5695, 0.5000, 0.1389]],
  "polymorph_energy_mev_per_atom": 0,
  "crystal_system": "orthorhombic",
  "space_group": "Amm2 (38)",
  "e_form_ev_per_atom": -0.688
}